Rb2NbGe | Alexandria | PBE-GGA | optimized geometry; ΔH_f (0 K) = 765 meV/atom; SG = I-42d
1.0
13.607 0.000 0.000
0.000 13.607 0.000
6.803 6.803 2.530
Nb Ge Rb
2 2 4
Direct
0.000 0.000 0.000
0.750 0.250 0.500
0.500 0.500 0.000
0.250 0.750 0.500
0.431 0.125 0.250
0.319 0.625 0.250
0.375 0.569 0.750
0.875 0.681 0.750

=====

CaTb5Te6 | Alexandria | PBE-GGA | optimized geometry; SG = C2/m; formation energy (no corrections) = -1359 meV per atom
1.0
-3.433 -2.053 6.493
5.212 -2.345 4.973
3.212 4.977 4.752
Ca Tb Te
1 5 6
Direct
0.000 0.000 0.000
0.500 0.165 0.670
0.000 0.332 0.336
0.500 0.500 0.000
0.000 0.668 0.664
0.500 0.835 0.330
0.748 0.084 0.333
0.252 0.582 0.333
0.247 0.251 0.000
0.753 0.749 0.000
0.748 0.418 0.667
0.252 0.916 0.667

=====

RbPdBr | Alexandria | PBE-GGA | optimized geometry; SG = P1; formation energy (no corrections) = -707 meV per atom; distance to the lowest polymorph of the same formula = 0.014 eV per atom
1.0
4.798 -0.002 0.005
-1.883 4.416 -0.005
1.727 -1.607 9.700
Pd Br Rb
2 2 2
Direct
0.250 0.359 0.311
0.631 0.977 0.311
0.813 0.528 0.291
0.687 0.416 0.805
0.291 0.845 0.012
0.086 0.987 0.595

=====

LaRe4Os | Alexandria | PBE-GGA | optimized geometry; ΔH_f (0 K) = 559 meV/atom; SG = F-43m
1.0
-0.815 -5.276 -0.266
-0.755 -2.816 4.479
-4.824 -2.018 1.107
La Re Os
1 4 1
Direct
0.750 0.750 0.750
0.874 0.375 0.375
0.375 0.375 0.874
0.375 0.874 0.375
0.375 0.375 0.375
0.000 0.000 0.000

=====

Tm6PtRh5 | Alexandria | PBE-GGA | optimized geometry; ΔH_f (0 K) = -1023 meV/atom; SG = Cmmm
1.0
-3.632 -2.569 -1.670
3.369 -0.895 -5.951
1.182 -7.213 1.754
Tm Rh Pt
6 5 1
Direct
0.833 0.749 0.335
0.833 0.251 0.335
0.500 0.252 0.000
0.500 0.748 0.000
0.167 0.749 0.665
0.167 0.251 0.665
0.666 0.500 0.668
0.332 0.000 0.336
0.000 0.500 0.000
0.668 0.000 0.664
0.334 0.500 0.332
0.000 0.000 0.000

=====

Cs2AgGeBr5 | Alexandria | PBE-GGA | optimized geometry; SG = Cmc2_1; formation energy (no corrections) = -1069 meV per atom
1.0
4.477 0.000 0.000
-2.239 10.432 0.000
0.000 0.000 14.687
Cs Ag Ge Br
4 2 2 10
Direct
0.869 0.737 0.800
0.108 0.216 0.687
0.131 0.263 0.300
0.892 0.784 0.187
0.559 0.118 0.955
0.441 0.882 0.455
0.789 0.577 0.513
0.211 0.423 0.013
0.336 0.672 0.997
0.695 0.391 0.883
0.501 0.001 0.796
0.281 0.563 0.638
0.937 0.873 0.556
0.664 0.328 0.497
0.305 0.609 0.383
0.499 0.999 0.296
0.719 0.437 0.138
0.063 0.127 0.056

=====

H3WSe | Alexandria | PBE-GGA | optimized geometry; SG = Pm-3m; distance to the lowest polymorph of the same formula = 0.874 eV per atom
1.0
3.554 0.000 0.000
0.000 3.554 0.000
0.000 0.000 3.554
H Se W
3 1 1
Direct
0.000 0.500 0.000
0.000 0.000 0.500
0.500 0.000 0.000
0.000 0.000 0.000
0.500 0.500 0.500

=====

Ag2OsRh | Alexandria | PBE-GGA | optimized geometry; ΔH_f (0 K) = 705 meV/atom; SG = I4/mmm; distance to the lowest polymorph of the same formula = 0.441 eV per atom
1.0
-1.918 1.918 4.377
1.918 -1.918 4.377
1.918 1.918 -4.377
Ag Os Rh
2 1 1
Direct
0.750 0.250 0.500
0.250 0.750 0.500
0.500 0.500 0.000
0.000 0.000 0.000

=====

Ho2CdHg | Alexandria | PBE-GGA | optimized geometry; ΔH_f (0 K) = -395 meV/atom; SG = Fm-3m; distance to the lowest polymorph of the same formula = 0.002 eV per atom
1.0
-3.571 2.962 2.465
-2.203 -1.704 4.455
1.197 2.299 4.570
Cd Hg Ho
1 1 2
Direct
0.500 0.500 0.500
0.000 0.000 0.000
0.250 0.250 0.250
0.750 0.750 0.750

=====

TiAlPt3 | Alexandria | PBE-GGA | optimized geometry; ΔH_f (0 K) = 516 meV/atom; SG = Pm-3m; distance to the lowest polymorph of the same formula = 1.458 eV per atom
1.0
4.700 0.000 0.000
0.000 4.700 0.000
0.000 0.000 4.700
Al Pt Ti
1 3 1
Direct
0.500 0.500 0.500
0.000 0.500 0.000
0.000 0.000 0.500
0.500 0.000 0.000
0.000 0.000 0.000

=====

LaO | Alexandria | PBE-GGA | optimized geometry; SG = Pmmn; formation energy (no corrections) = -2788 meV per atom
1.0
4.117 0.000 0.000
0.000 5.679 0.000
0.000 0.000 11.872
La O
6 6
Direct
0.000 0.792 0.838
0.500 0.208 0.662
0.500 0.208 0.338
0.000 0.792 0.162
0.000 0.723 0.500
0.500 0.277 0.000
0.000 0.002 0.652
0.500 0.998 0.848
0.500 0.998 0.152
0.000 0.002 0.348
0.000 0.532 0.000
0.500 0.468 0.500

=====

LiAg8Sn2 | Alexandria | PBE-GGA | optimized geometry; ΔH_f (0 K) = 48 meV/atom; SG = C2/m; distance to the lowest polymorph of the same formula = 0.060 eV per atom
1.0
4.763 1.068 0.000
1.960 7.239 0.000
0.980 3.620 6.715
Li Ag Sn
1 8 2
Direct
0.500 0.000 0.000
0.863 0.101 0.215
0.863 0.316 0.785
0.313 0.396 0.000
0.500 0.801 0.398
0.500 0.199 0.602
0.687 0.604 0.000
0.137 0.684 0.215
0.137 0.899 0.785
0.000 0.304 0.391
0.000 0.696 0.609

=====

Th3Zn8 | Alexandria | PBE-GGA | optimized geometry; ΔH_f (0 K) = -251 meV/atom; SG = Immm
1.0
-1.696 2.611 2.149
1.758 -1.862 3.650
10.760 7.577 -4.041
Th Zn
3 8
Direct
0.000 0.000 0.000
0.145 0.645 0.291
0.855 0.355 0.709
0.745 0.745 0.490
0.255 0.255 0.510
0.548 0.548 0.097
0.452 0.452 0.903
0.404 0.904 0.808
0.596 0.096 0.192
0.309 0.809 0.618
0.691 0.191 0.382

=====

CrCu2Ag | Alexandria | PBE-GGA | optimized geometry; ΔH_f (0 K) = 283 meV/atom; SG = P2/m; distance to the lowest polymorph of the same formula = 0.000 eV per atom
1.0
-0.321 -2.515 -1.944
-1.607 -1.472 2.170
-6.530 0.804 0.037
Ag Cr Cu
1 1 2
Direct
0.500 0.250 0.250
0.500 0.750 0.750
0.000 0.016 0.984
0.000 0.484 0.516

=====

Number 1: electronic total energy -3.39 eV/atom, size of the total moment 0.764 μB/atom. Number 2: electronic total energy -5.03 eV/atom, size of the total moment 0.000 μB/atom. Number 3: electronic total energy -3.32 eV/atom, size of the total moment 0.000 μB/atom. Number 4: electronic total energy -10.43 eV/atom, size of the total moment 0.000 μB/atom. Number 5: electronic total energy -6.83 eV/atom, size of the total moment 0.000 μB/atom. Number 6: electronic total energy -3.02 eV/atom, size of the total moment 0.000 μB/atom. Number 7: electronic total energy -3.75 eV/atom, size of the total moment 0.000 μB/atom. Number 8: electronic total energy -5.37 eV/atom, size of the total moment 0.651 μB/atom. Number 9: electronic total energy -2.99 eV/atom, size of the total moment 0.001 μB/atom. Number 10: electronic total energy -5.44 eV/atom, size of the total moment 0.000 μB/atom. Number 11: electronic total energy -7.73 eV/atom, size of the total moment 0.027 μB/atom. Number 12: electronic total energy -2.93 eV/atom, size of the total moment 0.000 μB/atom. Number 13: electronic total energy -3.20 eV/atom, size of the total moment 0.000 μB/atom. Number 14: electronic total energy -4.88 eV/atom, size of the total moment 0.917 μB/atom.